First-principles (GGA-PBEsol) data for a relaxed Y2Mg2Cu crystal, as listed in Alexandria.

a = 6.026 Å, b = 6.026 Å, c = 6.026 Å
α = 48.99°, β = 48.99°, γ = 48.99°
Element x y z (fractional)
1 Y 0.110 0.110 0.110
2 Y 0.890 0.890 0.890
3 Mg 0.329 0.329 0.329
4 Mg 0.671 0.671 0.671
5 Cu 0.500 0.500 0.500

Summary:
Formation enthalpy at 0 K in eV per atom: -0.06
M_tot in Bohr magnetons per cell: 0.00